Computed, not measured: a geometry-optimized LaGdGa2Br2 structure at the GGA-PBE level of DFT.

The value obtained for the total magnetic moment is 0.002 μB per formula unit. The calculated total energy is -0.1632 Ha/atom.

The space group is P3m1 (No. 156) and the conventional cell measures 4.2424, 4.2424 and 11.5188 Å, with angles of 90.00, 90.00 and 120.00 degrees. The distinct sites, in fractional coordinates, are La at (0.0000, 0.0000, 0.0000), Gd at (0.0000, 0.0000, 0.6333), Ga at (0.3333, 0.6667, 0.8401), Ga at (0.6667, 0.3333, 0.7834), Br at (0.3333, 0.6667, 0.4830) and Br at (0.6667, 0.3333, 0.1631).